Entry 1:
KPmCoBr6 | Alexandria via LeMat-Bulk | PBE-GGA | optimized geometry; DOS at the Fermi energy = 10.82 states/eV/f.u.; formation energy from raw total energies = -1284 meV per atom
1.0
7.1370 0.0000 0.0000
-3.5685 6.1808 0.0000
0.0000 0.0000 14.6553
K Pm Co Br
2 2 2 12
direct
0.0000 0.0000 0.0000
0.0000 0.0000 0.5000
0.3333 0.6667 0.2500
0.6667 0.3333 0.7500
0.6667 0.3333 0.2500
0.3333 0.6667 0.7500
0.6456 0.6170 0.1434
0.9714 0.3544 0.1434
0.3544 0.9714 0.6434
0.0286 0.6456 0.8566
0.3830 0.3544 0.3566
0.9714 0.6170 0.3566
0.6170 0.9714 0.8566
0.6456 0.0286 0.3566
0.0286 0.3830 0.6434
0.3830 0.0286 0.1434
0.6170 0.6456 0.6434
0.3544 0.3830 0.8566

---

Entry 2:
Pm2HRh | Alexandria via LeMat-Bulk | PBE-GGA | optimized geometry; DOS at the Fermi energy = 3.88 states/eV/f.u.; relative energy among the computed polymorphs = 285 meV per atom
1.0
3.3291 0.0000 0.0000
0.0000 3.3291 0.0000
0.0000 0.0000 7.1421
H Rh Pm
1 1 2
direct
0.5000 0.5000 0.5000
0.5000 0.5000 0.0000
0.0000 0.0000 0.7465
0.0000 0.0000 0.2535

---

Entry 3:
EuGe3Pt | Alexandria via LeMat-Bulk | PBE-GGA | optimized geometry; energy of formation = -0.661 eV/atom; DOS at the Fermi energy = 6.43 states/eV/f.u.
1.0
4.5093 -0.0008 0.0048
-0.0008 4.5089 0.0049
-2.2594 -2.2594 5.0621
Eu Ge Pt
1 3 1
direct
0.9964 0.9964 0.9934
0.7547 0.2553 0.5100
0.2553 0.7547 0.5100
0.4032 0.4032 0.8063
0.6461 0.6461 0.2916

---

Entry 4:
La2CoSnH | Alexandria via LeMat-Bulk | PBE-GGA | optimized geometry; DOS at the Fermi energy = 3.89 states/eV/f.u.
1.0
5.2120 0.0000 0.0000
0.0000 5.2120 0.0000
0.0000 0.0000 4.0109
H Co Sn La
1 1 1 2
direct
0.0000 0.0000 0.0000
0.0000 0.0000 0.5000
0.5000 0.5000 0.5000
0.0000 0.5000 0.0000
0.5000 0.0000 0.0000

---

Number 1: electronic total energy -3.839 eV per atom. Number 2: electronic total energy -5.355 eV per atom. Number 3: electronic total energy -6.695 eV per atom. Number 4: electronic total energy -5.189 eV per atom.